Entry 1:
The following is a DFT calculation (PBE) of a geometry-optimized Ti4RhW structure.

Properties
calculated formation energy = 161.6 meV/atom

Cell lengths 4.309, 4.305, 7.443 Å; angles 73.23, 73.17, 59.97 degrees
Atoms (fractional coordinates):
Rh 0.500 0.500 0.500
Ti 0.125 0.125 0.626
Ti 0.625 0.625 0.125
Ti 0.375 0.375 0.875
Ti 0.875 0.875 0.374
W 0.000 0.000 0.000

***

Entry 2:
The following is a DFT calculation (PBE) of a geometry-optimized CsNa2Pb9 structure.

Properties
calculated formation energy = -76.5 meV/atom

Cell lengths 6.887, 6.887, 11.165 Å; angles 72.04, 72.04, 60.00 degrees
Atoms (fractional coordinates):
Na 0.861 0.861 0.417
Na 0.139 0.139 0.583
Pb 0.925 0.407 0.262
Pb 0.407 0.925 0.262
Pb 0.661 0.661 0.018
Pb 0.407 0.407 0.262
Pb 0.339 0.339 0.982
Pb 0.593 0.075 0.738
Pb 0.075 0.593 0.738
Pb 0.500 0.500 0.500
Pb 0.593 0.593 0.738
Cs 0.000 0.000 0.000

***

Entry 3:
The following is a DFT calculation (PBE) of a geometry-optimized CsNaP2 structure.

Properties
calculated formation energy = 579.1 meV/atom

Cell lengths 5.439, 5.439, 5.439 Å; angles 60.00, 60.00, 60.00 degrees
Atoms (fractional coordinates):
P 0.750 0.750 0.750
P 0.250 0.250 0.250
Cs 0.500 0.500 0.500
Na 0.000 0.000 0.000

***

Entry 4:
The following is a DFT calculation (PBE) of a geometry-optimized La2Pb2Se structure.

Properties
uncorrected formation energy = -912 meV/atom

Cell lengths 8.151, 8.151, 5.007 Å; angles 90.00, 90.00, 90.00 degrees
Atoms (fractional coordinates):
Pb 0.371 0.129 0.500
Pb 0.129 0.629 0.500
Pb 0.629 0.871 0.500
Pb 0.871 0.371 0.500
Se 0.500 0.500 0.000
Se 0.000 0.000 0.000
La 0.676 0.176 0.000
La 0.324 0.824 0.000
La 0.176 0.324 0.000
La 0.824 0.676 0.000

***

Entry 5:
The following is a DFT calculation (PBE) of a geometry-optimized LuCuPdRh structure.

Properties
calculated formation energy = -599.8 meV/atom

Cell lengths 4.517, 4.517, 4.517 Å; angles 60.00, 60.00, 60.00 degrees
Atoms (fractional coordinates):
Lu 0.750 0.750 0.750
Cu 0.250 0.250 0.250
Pd 0.500 0.500 0.500
Rh 0.000 0.000 0.000

***

Entry 6:
The following is a DFT calculation (PBE) of a geometry-optimized Cs3YO3 structure.

Properties
uncorrected formation energy = -1915 meV/atom

Cell lengths 7.706, 8.200, 12.439 Å; angles 84.83, 90.00, 90.00 degrees
Atoms (fractional coordinates):
Y 0.091 0.846 0.071
Y 0.591 0.154 0.429
Y 0.909 0.154 0.929
Y 0.409 0.846 0.571
O 0.542 0.709 0.700
O 0.042 0.291 0.800
O 0.650 0.242 0.947
O 0.458 0.291 0.300
O 0.150 0.758 0.553
O 0.958 0.709 0.200
O 0.553 0.887 0.417
O 0.350 0.758 0.053
O 0.053 0.113 0.083
O 0.947 0.887 0.917
O 0.447 0.113 0.583
O 0.850 0.242 0.447
Cs 0.177 0.616 0.811
Cs 0.654 0.653 0.922
Cs 0.876 0.938 0.658
Cs 0.323 0.616 0.311
Cs 0.154 0.347 0.578
Cs 0.376 0.062 0.842
Cs 0.823 0.384 0.189
Cs 0.346 0.347 0.078
Cs 0.677 0.384 0.689
Cs 0.624 0.938 0.158
Cs 0.846 0.653 0.422
Cs 0.124 0.062 0.342

***

Entry 7:
The following is a DFT calculation (PBE) of a geometry-optimized Ce3GeIr3 structure.

Properties
calculated formation energy = -554.8 meV/atom

Cell lengths 5.495, 8.608, 8.608 Å; angles 120.00, 90.00, 90.00 degrees
Atoms (fractional coordinates):
Ce 0.750 0.351 0.044
Ce 0.250 0.649 0.956
Ce 0.250 0.307 0.351
Ce 0.750 0.956 0.307
Ce 0.250 0.044 0.693
Ce 0.750 0.693 0.649
Ir 0.750 0.629 0.944
Ir 0.250 0.944 0.315
Ir 0.250 0.371 0.056
Ir 0.750 0.315 0.371
Ir 0.250 0.685 0.629
Ir 0.750 0.056 0.685
Ge 0.250 0.667 0.333
Ge 0.750 0.333 0.667

***

Entry 8:
The following is a DFT calculation (PBE) of a geometry-optimized CaSmZnPd structure.

Properties
calculated formation energy = -533.8 meV/atom

Cell lengths 4.034, 4.299, 6.042 Å; angles 90.00, 109.50, 90.00 degrees
Atoms (fractional coordinates):
Pd 0.424 0.000 0.849
Ca 0.145 0.000 0.290
Sm 0.860 0.500 0.720
Zn 0.571 0.500 0.142